No. 1
Here is a PBEsol-optimized structure of SrGaTeN2 from Alexandria. Energies are from SCAN.

Cell: 4.742 4.742 6.473 Å, 90.00 90.00 90.00°
Each line ends with the local moment (μB).
Atoms (fractional coordinates):
N 0.000 0.500 0.000  1.44
Sr 0.000 0.000 0.000  0.04
N 0.500 0.000 0.000  1.44
Te 0.000 0.000 0.500  0.24
Ga 0.500 0.500 0.500  0.02

## Properties
Energy relative to the lowest polymorph listed for this composition = 681 meV/atom
Symmetry = P4/mmm, No. 123

---

No. 2
Here is a PBEsol-optimized structure of SrGaTeN2 from Alexandria. Energies are from SCAN.

Cell: 4.284 4.284 5.419 Å, 90.00 90.00 90.00°
Each line ends with the local moment (μB).
Atoms (fractional coordinates):
Te 0.000 0.000 0.500  0.17
Ga 0.000 0.000 0.000  -0.12
Sr 0.500 0.500 0.500  -0.01
N 0.000 0.500 0.000  1.03
N 0.500 0.000 0.000  1.03

## Properties
Energy relative to the lowest polymorph listed for this composition = 0 meV/atom
Symmetry = P4/mmm, No. 123

---

No. 3
Here is a PBEsol-optimized structure of ZrTaGa2N from Alexandria. Energies are from SCAN.

Cell: 4.884 5.143 5.143 Å, 90.00 90.00 90.00°
Each line ends with the local moment (μB).
Atoms (fractional coordinates):
N 0.500 0.500 0.500  1.70
Ta 0.500 0.000 0.000  -0.22
Zr 0.000 0.000 0.000  0.05
Ga 0.000 0.000 0.500  0.01
Ga 0.000 0.500 0.000  0.01

## Properties
Symmetry = P4/mmm, No. 123

---

No. 4
Here is a PBEsol-optimized structure of GaTc2N from Alexandria. Energies are from SCAN.

Cell: 4.073 4.073 4.073 Å, 60.00 60.00 60.00°
Atoms (fractional coordinates):
Ga 0.500 0.500 0.500
Tc 0.250 0.250 0.250
Tc 0.750 0.750 0.750
N 0.000 0.000 0.000

## Properties
Symmetry = Fm-3m, No. 225

---

No. 5
Here is a PBEsol-optimized structure of Ga2TcN2 from Alexandria. Energies are from SCAN.

Cell: 3.837 3.837 4.765 Å, 113.74 113.74 90.00°
Each line ends with the local moment (μB).
Atoms (fractional coordinates):
Ga 0.342 0.342 0.685  0.01
N 0.250 0.750 0.500  0.08
N 0.750 0.250 0.500  0.08
Ga 0.658 0.658 0.315  0.01
Tc 0.000 0.000 0.000  2.71

## Properties
Symmetry = I4/mmm, No. 139

---

No. 6
Here is a PBEsol-optimized structure of ZrGaTe2N from Alexandria. Energies are from SCAN.

Cell: 3.938 5.755 5.755 Å, 90.00 90.00 90.00°
Atoms (fractional coordinates):
Zr 0.000 0.000 0.000
Te 0.000 0.500 0.000
N 0.500 0.000 0.000
Te 0.000 0.000 0.500
Ga 0.500 0.500 0.500

## Properties
Symmetry = P4/mmm, No. 123

---

No. 7
Here is a PBEsol-optimized structure of TiGaN2 from Alexandria. Energies are from SCAN.

Cell: 3.049 3.049 6.097 Å, 75.52 75.52 60.00°
Atoms (fractional coordinates):
Ga 0.000 0.000 0.000
Ti 0.500 0.500 0.500
N 0.106 0.106 0.683
N 0.894 0.894 0.317

## Properties
Symmetry = R-3m, No. 166

---

No. 8
Here is a PBEsol-optimized structure of TlGaN3 from Alexandria. Energies are from SCAN.

Cell: 3.991 3.991 3.991 Å, 90.00 90.00 90.00°
Each line ends with the local moment (μB).
Atoms (fractional coordinates):
N 0.500 0.000 0.000  1.13
N 0.000 0.500 0.000  1.13
N 0.000 0.000 0.500  1.13
Ga 0.000 0.000 0.000  -0.01
Tl 0.500 0.500 0.500  0.19

## Properties
Symmetry = Pm-3m, No. 221

---

| no. | D(E_F) (states/eV/cell) | uncorrected energy (eV per atom) |
| --- | --- | --- |
| 1 | 2.61 | -17.746 |
| 2 | 1.40 | -18.426 |
| 3 | 3.39 | -25.726 |
| 4 | 4.70 | -22.987 |
| 5 | 2.62 | -16.355 |
| 6 | 3.49 | -26.220 |
| 7 | 1.67 | -13.493 |
| 8 | 1.91 | -21.892 |